VASP calculation (PBE) on crystalline YCrW at its relaxed geometry.

The structure in POSCAR format:
```
YCrW
1.0
6.381 0.000 -0.001
0.000 3.206 0.000
-3.163 0.000 10.938
Y Cr W
4 4 4
Direct
0.244 0.000 0.503
0.756 0.000 0.497
0.244 0.500 0.003
0.756 0.500 0.997
0.089 0.000 0.204
0.911 0.000 0.796
0.089 0.500 0.704
0.911 0.500 0.296
0.394 0.000 0.808
0.606 0.000 0.192
0.394 0.500 0.308
0.606 0.500 0.692
```

Formation enthalpy at 0 K ... 0.406 eV per atom
M_tot ... 0.00 Bohr magnetons per cell
Space-group type ... C2/m
N(E_F) ... 4.236 states/eV/f.u.
Energy above the most stable polymorph in this dataset ... 0.128 eV per atom

=====

VASP calculation (PBE) on crystalline YCrW at its relaxed geometry.

The structure in POSCAR format:
```
YCrW
1.0
-1.081 -0.583 6.279
-1.561 -2.750 -0.524
9.885 -5.228 -2.018
Y Cr W
4 4 4
Direct
0.000 0.000 0.000
0.000 0.500 0.500
0.500 0.500 0.500
0.500 0.000 0.000
0.137 0.000 0.300
0.863 0.000 0.700
0.137 0.500 0.800
0.863 0.500 0.200
0.665 0.000 0.305
0.335 0.000 0.695
0.665 0.500 0.805
0.335 0.500 0.195
```

Formation enthalpy at 0 K ... 0.412 eV per atom
M_tot ... 0.00 Bohr magnetons per cell
Space-group type ... C2/m
N(E_F) ... 3.715 states/eV/f.u.
Energy above the most stable polymorph in this dataset ... 0.134 eV per atom

=====

VASP calculation (PBE) on crystalline YCrW3 at its relaxed geometry.

The structure in POSCAR format:
```
YCrW3
1.0
-3.499 -2.050 2.441
1.534 -4.260 -1.379
2.794 -0.229 3.813
Y Cr W
1 1 3
Direct
0.000 0.000 0.000
0.500 0.500 0.500
0.000 0.500 0.000
0.000 0.000 0.500
0.500 0.000 0.000
```

Formation enthalpy at 0 K ... 3.423 eV per atom
M_tot ... 0.04 Bohr magnetons per cell
Space-group type ... Pm-3m
N(E_F) ... 8.079 states/eV/f.u.
Energy above the most stable polymorph in this dataset ... 2.340 eV per atom

=====

VASP calculation (PBE) on crystalline YCrW3 at its relaxed geometry.

The structure in POSCAR format:
```
YCrW3
1.0
-4.050 -0.694 2.106
1.525 -4.056 1.595
1.610 2.095 3.787
Y Cr W
1 1 3
Direct
0.500 0.500 0.500
0.000 0.000 0.000
0.000 0.500 0.000
0.000 0.000 0.500
0.500 0.000 0.000
```

Formation enthalpy at 0 K ... 1.083 eV per atom
M_tot ... 0.00 Bohr magnetons per cell
Space-group type ... Pm-3m
N(E_F) ... 8.278 states/eV/f.u.
Energy above the most stable polymorph in this dataset ... 0.000 eV per atom

=====

VASP calculation (PBE) on crystalline YCrW at its relaxed geometry.

The structure in POSCAR format:
```
YCrW
1.0
4.689 0.000 0.000
2.344 4.061 0.000
2.344 1.354 3.828
Cr W Y
1 1 1
Direct
0.000 0.000 0.000
0.500 0.500 0.500
0.750 0.750 0.750
```

Formation enthalpy at 0 K ... 1.790 eV per atom
M_tot ... 1.37 Bohr magnetons per cell
Space-group type ... F-43m
N(E_F) ... 2.566 states/eV/f.u.
Energy above the most stable polymorph in this dataset ... 1.513 eV per atom

=====

VASP calculation (PBE) on crystalline Y2CrW at its relaxed geometry.

The structure in POSCAR format:
```
Y2CrW
1.0
0.000 3.553 3.553
3.553 0.000 3.553
3.553 3.553 0.000
Y Cr W
2 1 1
Direct
0.250 0.250 0.250
0.750 0.750 0.750
0.000 0.000 0.000
0.500 0.500 0.500
```

Formation enthalpy at 0 K ... 0.638 eV per atom
M_tot ... 2.92 Bohr magnetons per cell
Space-group type ... Fm-3m
N(E_F) ... 7.225 states/eV/f.u.
Energy above the most stable polymorph in this dataset ... 0.339 eV per atom